(1)
YZnMo: relaxed, GGA-PBE.

Properties
DFT formation energy = 59 kJ per mole of atoms
E above lowest polymorph = 419 meV/atom
E = -16.7 eV for the cell shown

Cell: 4.531 4.531 4.531 Å, 60.00 60.00 60.00°
Site moments in Bohr magnetons follow the coordinates.
Fractional positions:
Mo 0.000 0.000 0.000  0.79
Y 0.500 0.500 0.500  -0.01
Zn 0.750 0.750 0.750  -0.01

***

(2)
YZn3Mo: relaxed, GGA-PBE.

Properties
DFT formation energy = 153 kJ per mole of atoms
E above lowest polymorph = 1162 meV/atom
E = -13.2 eV for the cell shown

Cell: 5.350 5.350 5.350 Å, 90.00 90.00 90.00°
Site moments in Bohr magnetons follow the coordinates.
Fractional positions:
Y 0.000 0.000 0.000  -0.20
Mo 0.500 0.500 0.500  3.74
Zn 0.000 0.500 0.000  -0.02
Zn 0.000 0.000 0.500  0.00
Zn 0.500 0.000 0.000  -0.05

***

(3)
YZnMo2: relaxed, GGA-PBE.

Properties
DFT formation energy = 67 kJ per mole of atoms
E = -53.2 eV for the cell shown

Cell: 7.740 7.740 6.065 Å, 50.35 50.35 90.00°
Fractional positions:
Mo 0.167 0.625 0.250
Y 0.000 0.000 0.000
Y 0.750 0.250 0.500
Mo 0.583 0.125 0.250
Mo 0.375 0.417 0.750
Zn 0.500 0.500 0.000
Mo 0.875 0.833 0.750
Zn 0.250 0.750 0.500

***

(4)
Y2Zn2Mo: relaxed, GGA-PBE.

Properties
DFT formation energy = 7 kJ per mole of atoms
E = -51.9 eV for the cell shown

Cell: 7.014 7.014 4.371 Å, 90.00 90.00 90.00°
Site moments in Bohr magnetons follow the coordinates.
Fractional positions:
Zn 0.627 0.127 0.000  0.00
Y 0.685 0.815 0.500  0.00
Y 0.315 0.185 0.500  0.00
Zn 0.873 0.627 0.000  0.00
Y 0.185 0.685 0.500  0.00
Mo 0.500 0.500 0.000  0.53
Mo 0.000 0.000 0.000  0.53
Zn 0.373 0.873 0.000  0.00
Zn 0.127 0.373 0.000  0.00
Y 0.815 0.315 0.500  0.01